[1]
Below is an optimized crystal structure of Dy3TeSe2, with properties calculated at the PBE-GGA level.

abc: 4.1831 7.3788 11.0531
angles: 90.00 90.00 106.47
Closest atoms and distances in Å follow each position.
Sites, in units of the cell vectors:
Dy1 0.6498 0.2996 0.0425  3 Se 2.73-3.01
Dy2 0.0813 0.1626 0.7500  4 Se 2.75-2.99
Dy3 0.6498 0.2996 0.4575  3 Se 2.73-3.01
Dy4 0.9187 0.8374 0.2500  4 Se 2.75-2.99
Dy5 0.3502 0.7004 0.9575  3 Se 2.73-3.01
Dy6 0.3502 0.7004 0.5425  3 Se 2.73-3.01
Te1 0.2579 0.5159 0.2500  6 Dy 3.09-3.46
Te2 0.7421 0.4841 0.7500  6 Dy 3.09-3.46
Se1 0.0000 0.0000 0.0000  6 Dy 2.99-3.01
Se2 0.0000 0.0000 0.5000  6 Dy 2.99-3.01
Se3 0.5449 0.0898 0.2500  4 Dy 2.73-2.75
Se4 0.4551 0.9102 0.7500  4 Dy 2.73-2.75

Output
* energy relative to the elements, uncorrected: -1.333 eV per atom
* space-group type: No. 63
* volume: 327.2 Å³/cell
* ρ: 7847 kg/m³

[2]
Below is an optimized crystal structure of Dy4Te5Se2, with properties calculated at the PBE-GGA level.

abc: 4.1815 7.1288 14.0497
angles: 90.43 98.56 90.00
Closest atoms and distances in Å follow each position.
Sites, in units of the cell vectors:
Dy1 0.6719 0.6146 0.3438  1 Se 2.78, 4 Te 3.05-3.11
Dy2 0.0557 0.7728 0.1114  2 Se 2.80, 3 Te 2.98-3.07
Dy3 0.3281 0.3854 0.6562  1 Se 2.78, 4 Te 3.05-3.11
Dy4 0.9443 0.2272 0.8886  2 Se 2.80, 3 Te 2.98-3.07
Te1 0.1565 0.9193 0.3130  3 Dy 2.98-3.05
Te2 0.8435 0.0807 0.6870  3 Dy 2.98-3.05
Te3 0.2151 0.3406 0.4303  3 Dy 3.11-3.15, 1 Te 3.41
Te4 0.5000 0.0000 0.0000  4 Dy 3.07
Te5 0.7849 0.6594 0.5697  3 Dy 3.11-3.15, 1 Te 3.41
Se1 0.5744 0.5223 0.1488  3 Dy 2.78-2.80
Se2 0.4256 0.4777 0.8512  3 Dy 2.78-2.80

Output
* energy relative to the elements, uncorrected: -1.231 eV per atom
* space-group type: No. 12
* volume: 414.1 Å³/cell
* ρ: 5798 kg/m³

[3]
Below is an optimized crystal structure of Dy4Te3Se, with properties calculated at the PBE-GGA level.

abc: 4.2691 7.4571 7.4571
angles: 109.35 90.00 90.00
Closest atoms and distances in Å follow each position.
Sites, in units of the cell vectors:
Te1 0.0000 0.0000 0.5000  6 Dy 3.04-3.05
Te2 0.5000 0.5000 0.5000  6 Dy 3.21-3.25
Te3 0.0000 0.5000 0.0000  6 Dy 3.04-3.05
Se1 0.5000 0.0000 0.0000  6 Dy 2.83-2.87
Dy1 0.0000 0.2217 0.2217  2 Se 2.87, 2 Te 3.05
Dy2 0.5000 0.7674 0.2326  1 Se 2.83, 4 Te 3.04
Dy3 0.0000 0.7783 0.7783  2 Se 2.87, 2 Te 3.05
Dy4 0.5000 0.2326 0.7674  1 Se 2.83, 4 Te 3.04

Output
* energy relative to the elements, uncorrected: -1.399 eV per atom
* space-group type: No. 65
* volume: 224.0 Å³/cell
* ρ: 8242 kg/m³

[4]
Below is an optimized crystal structure of Dy5TeSe4, with properties calculated at the PBE-GGA level.

abc: 4.1347 4.1347 14.9318
angles: 97.96 97.96 90.00
Closest atoms and distances in Å follow each position.
Sites, in units of the cell vectors:
Dy1 0.1058 0.1058 0.2115  5 Se 2.86-2.93, 1 Te 3.10
Dy2 0.5000 0.5000 0.0000  2 Se 2.91, 4 Te 2.92
Dy3 0.8942 0.8942 0.7885  5 Se 2.86-2.93, 1 Te 3.10
Dy4 0.3032 0.3032 0.6065  6 Se 2.85-2.93
Dy5 0.6968 0.6968 0.3935  6 Se 2.85-2.93
Te1 0.0000 0.0000 0.0000  6 Dy 2.92-3.10
Se1 0.4006 0.4006 0.8012  6 Dy 2.85-2.93
Se2 0.7965 0.7965 0.5930  6 Dy 2.86-2.93
Se3 0.2035 0.2035 0.4070  6 Dy 2.86-2.93
Se4 0.5994 0.5994 0.1988  6 Dy 2.85-2.93

Output
* energy relative to the elements, uncorrected: -1.624 eV per atom
* space-group type: No. 139
* volume: 250.3 Å³/cell
* ρ: 8331 kg/m³

[5]
Below is an optimized crystal structure of Dy2Te2Se, with properties calculated at the PBE-GGA level.

abc: 6.5317 7.8126 7.8126
angles: 63.17 65.19 65.19
Closest atoms and distances in Å follow each position.
Sites, in units of the cell vectors:
Dy1 0.6027 0.6548 0.1409  2 Se 2.83, 3 Te 3.06-3.17
Dy2 0.8973 0.8591 0.3452  2 Se 2.83, 3 Te 3.06-3.17
Dy3 0.1027 0.1409 0.6548  2 Se 2.83, 3 Te 3.06-3.17
Dy4 0.3973 0.3452 0.8591  2 Se 2.83, 3 Te 3.06-3.17
Te1 0.3530 0.7725 0.5225  3 Dy 3.06-3.17
Te2 0.6470 0.2275 0.4775  3 Dy 3.06-3.17
Te3 0.1470 0.4775 0.2275  3 Dy 3.06-3.17
Te4 0.8530 0.5225 0.7725  3 Dy 3.06-3.17
Se1 0.7500 0.0001 0.9999  4 Dy 2.83
Se2 0.2500 0.9999 0.0001  4 Dy 2.83

Output
* energy relative to the elements, uncorrected: -1.480 eV per atom
* space-group type: No. 15
* volume: 309.6 Å³/cell
* ρ: 7071 kg/m³

[6]
Below is an optimized crystal structure of DyTlTeSe, with properties calculated at the PBE-GGA level.

abc: 4.3035 4.3035 8.5090
angles: 90.00 104.65 120.00
Closest atoms and distances in Å follow each position.
Sites, in units of the cell vectors:
Dy1 0.2920 0.5439 0.8513  3 Se 2.87, 3 Te 3.12
Tl1 0.9657 0.3809 0.3617  3 Te 3.36, 3 Se 3.55
Te1 0.1133 0.9546 0.0830  3 Dy 3.12, 3 Tl 3.36
Se1 0.5069 0.1514 0.6737  3 Dy 2.87

Output
* energy relative to the elements, uncorrected: -1.197 eV per atom
* space-group type: No. 160
* volume: 130.5 Å³/cell
* ρ: 7295 kg/m³

[7]
Below is an optimized crystal structure of Dy8TlTe4Se3, with properties calculated at the PBE-GGA level.

abc: 8.4749 8.5906 8.4750
angles: 119.56 120.00 90.00
Closest atoms and distances in Å follow each position.
Sites, in units of the cell vectors:
Dy1 0.2450 0.7265 0.9815  2 Se 2.91, 1 Tl 2.96, 3 Te 3.08-3.13
Dy2 0.2450 0.7264 0.4900  2 Se 2.91, 1 Tl 2.96, 3 Te 3.08-3.13
Dy3 0.2613 0.2839 0.5226  3 Se 2.88, 3 Te 3.16
Dy4 0.7365 0.7265 0.9815  2 Se 2.91, 1 Tl 2.96, 3 Te 3.08-3.13
Dy5 0.2635 0.2735 0.0185  2 Se 2.91, 1 Tl 2.96, 3 Te 3.08-3.13
Dy6 0.7387 0.7161 0.4774  3 Se 2.88, 3 Te 3.16
Dy7 0.7550 0.2736 0.5100  2 Se 2.91, 1 Tl 2.96, 3 Te 3.08-3.13
Dy8 0.7550 0.2735 0.0185  2 Se 2.91, 1 Tl 2.96, 3 Te 3.08-3.13
Tl1 0.0000 0.5000 0.0000  6 Dy 2.96
Te1 0.5000 0.0000 0.0000  6 Dy 3.08
Te2 0.5000 0.0000 0.5000  6 Dy 3.13-3.16
Te3 0.0000 0.0000 0.0000  6 Dy 3.13-3.16
Te4 0.0000 0.0000 0.5000  6 Dy 3.13-3.16
Se1 0.5000 0.5000 0.0000  6 Dy 2.88-2.91
Se2 0.5000 0.5000 0.5000  6 Dy 2.88-2.91
Se3 0.0000 0.5000 0.5000  6 Dy 2.88-2.91

Output
* energy relative to the elements, uncorrected: -1.354 eV per atom
* space-group type: No. 166
* volume: 439.2 Å³/cell
* ρ: 8513 kg/m³

[8]
Below is an optimized crystal structure of Dy4TlTeSe2, with properties calculated at the PBE-GGA level.

abc: 4.1221 7.4153 7.3871
angles: 71.70 90.00 90.00
Closest atoms and distances in Å follow each position.
Sites, in units of the cell vectors:
Dy1 0.0000 0.7686 0.7353  3 Se 2.89-2.98, 1 Tl 3.03, 2 Te 3.10
Dy2 0.0000 0.2314 0.2647  3 Se 2.89-2.98, 1 Tl 3.03, 2 Te 3.10
Dy3 0.5000 0.7656 0.2464  3 Se 2.93, 2 Tl 3.05, 1 Te 3.07
Dy4 0.5000 0.2344 0.7536  3 Se 2.93, 2 Tl 3.05, 1 Te 3.07
Tl1 0.0000 0.5000 0.5000  6 Dy 3.03-3.05
Te1 0.5000 0.5000 0.0000  6 Dy 3.07-3.10
Se1 0.0000 0.0000 0.0000  6 Dy 2.93-2.98
Se2 0.5000 0.0000 0.5000  6 Dy 2.89-2.93

Output
* energy relative to the elements, uncorrected: -1.271 eV per atom
* space-group type: No. 10
* volume: 214.4 Å³/cell
* ρ: 8830 kg/m³

[9]
Below is an optimized crystal structure of DyUTe2Se, with properties calculated at the PBE-GGA level.

abc: 4.3632 4.3632 15.1071
angles: 90.00 90.00 90.00
Closest atoms and distances in Å follow each position.
Sites, in units of the cell vectors:
Dy1 0.5000 0.0000 0.0891  6 Te 3.10-3.11
Dy2 0.0000 0.5000 0.9109  6 Te 3.10-3.11
U1 0.5000 0.0000 0.6250  4 Se 2.88
U2 0.0000 0.5000 0.3750  4 Se 2.88
Te1 0.0000 0.5000 0.7055  1 Dy 3.10, 4 U 3.32
Te2 0.0000 0.5000 0.1167  5 Dy 3.11
Te3 0.5000 0.0000 0.8833  5 Dy 3.11
Te4 0.5000 0.0000 0.2945  1 Dy 3.10, 4 U 3.32
Se1 0.0000 0.0000 0.5000  4 U 2.88, 4 Se 3.09
Se2 0.5000 0.5000 0.5000  4 U 2.88, 4 Se 3.09

Output
* energy relative to the elements, uncorrected: -1.039 eV per atom
* space-group type: No. 129
* volume: 287.6 Å³/cell
* ρ: 8484 kg/m³

[10]
Below is an optimized crystal structure of DyYTeSe, with properties calculated at the PBE-GGA level.

abc: 4.1068 4.1076 7.6591
angles: 90.00 105.55 120.00
Closest atoms and distances in Å follow each position.
Sites, in units of the cell vectors:
Dy1 0.1149 0.9554 0.0854  3 Se 2.83, 3 Te 3.12
Y1 0.4896 0.1428 0.6476  3 Se 2.88-2.89, 3 Te 3.15
Te1 0.9667 0.3814 0.3633  3 Dy 3.12, 3 Y 3.15
Se1 0.3067 0.5513 0.8733  3 Dy 2.83, 3 Y 2.88-2.89

Output
* energy relative to the elements, uncorrected: -1.575 eV per atom
* space-group type: No. 160
* volume: 106.4 Å³/cell
* ρ: 7148 kg/m³

What is the formula in the sixth record?
DyTlTeSe